{"formula": "ZrInSnH2", "functional": "PBE", "state": "relaxed", "lattice_angstrom": [[4.0978, 0.0000, 0.0000], [0.0000, 4.0978, 0.0000], [0.0000, 0.0000, 6.1117]], "species": ["Zr", "In", "Sn", "H", "H"], "frac_coords": [[0.0000, 0.0000, 0.0000], [0.5000, 0.5000, 0.0000], [0.0000, 0.0000, 0.5000], [0.0000, 0.5000, 0.5000], [0.5000, 0.0000, 0.5000]], "spacegroup": "P4/mmm (123)", "e_tot_ry_per_atom": -0.285}